FePtOF2 | PBE+U | optimized geometry

It has space group P4/mmm (No. 123), with a = 4.435 Å, b = 4.435 Å, c = 3.874 Å, α = 90.00°, β = 90.00° and γ = 90.00°. The asymmetric unit holds Fe at (0.000, 0.000, 0.000), Pt at (0.500, 0.500, 0.500), O at (0.500, 0.500, 0.000) and F at (0.000, 0.500, 0.500).

The calculation puts the distance to the lowest polymorph of the same formula at 337 meV per atom. The value obtained for the density is 6.64 Mg/m³.